# 1
## MnVS2 (PBE-GGA)

Data for a relaxed structure of MnVS2.

Output
Space-group type   No. 122
Total energy   -28.14 eV per formula unit
DOS at the Fermi energy   8.29 states/eV per cell

Unit cell a=5.1017 b=5.1017 c=6.3938 alpha=66.49 beta=66.49 gamma=90.00
With the nearest neighbours (Å) after each atom.
Element x y z (fractional)
S (0.6463, 0.1250, 0.2500)  2 Mn 2.17, 2 V 2.30
S (0.1037, 0.6250, 0.2500)  2 Mn 2.17, 2 V 2.30
S (0.3750, 0.3537, 0.7500)  2 Mn 2.17, 2 V 2.30
S (0.8750, 0.8963, 0.7500)  2 Mn 2.17, 2 V 2.30
Mn (0.0000, 0.0000, 0.0000)  4 S 2.17
Mn (0.7500, 0.2500, 0.5000)  4 S 2.17
V (0.5000, 0.5000, 0.0000)  4 S 2.30
V (0.2500, 0.7500, 0.5000)  4 S 2.30



# 2
## Zr2ScCo (PBE-GGA)

Data for a relaxed structure of Zr2ScCo.

Output
ΔE_f   0.170 eV per atom
Space-group type   No. 12
Total energy   -29.85 eV per formula unit
DOS at the Fermi energy   5.30 states/eV per cell

Unit cell a=5.3253 b=5.5147 c=3.1108 alpha=80.43 beta=76.13 gamma=114.53
With the nearest neighbours (Å) after each atom.
Element x y z (fractional)
Co (0.0000, 0.5000, 0.5000)  2 Sc 2.74, 4 Zr 2.93
Sc (0.5000, 0.5000, 0.0000)  2 Co 2.74, 4 Zr 2.93
Zr (0.0000, 0.0000, 0.0000)  2 Zr 2.74, 2 Sc 2.93, 2 Co 2.93
Zr (0.5000, 0.0000, 0.5000)  2 Zr 2.74, 2 Co 2.93, 2 Sc 2.93



# 3
## GePdO3 (PBE-GGA)

Data for a relaxed structure of GePdO3.

Output
Space-group type   No. 221
Total energy   -27.23 eV per formula unit
DOS at the Fermi energy   2.16 states/eV per cell

Unit cell a=3.7285 b=3.7285 c=3.7285 alpha=90.00 beta=90.00 gamma=90.00
With the nearest neighbours (Å) after each atom.
Element x y z (fractional)
Ge (0.0000, 0.0000, 0.0000)  6 O 1.86
O (0.0000, 0.5000, 0.0000)  2 Ge 1.86
O (0.0000, 0.0000, 0.5000)  2 Ge 1.86
O (0.5000, 0.0000, 0.0000)  2 Ge 1.86
Pd (0.5000, 0.5000, 0.5000)  12 O 2.64



# 4
## ScCu2Os (PBE-GGA)

Data for a relaxed structure of ScCu2Os.

Output
ΔE_f   0.237 eV per atom
Space-group type   No. 160
Total energy   -24.81 eV per formula unit
DOS at the Fermi energy   4.47 states/eV per cell

Unit cell a=8.8972 b=8.8972 c=8.8972 alpha=18.11 beta=18.11 gamma=18.11
With the nearest neighbours (Å) after each atom.
Element x y z (fractional)
Cu (0.9942, 0.9942, 0.9942)  9 Cu 2.55-2.80, 3 Sc 2.82
Cu (0.2523, 0.2523, 0.2523)  9 Cu 2.55-2.80, 3 Os 2.67
Os (0.5045, 0.5045, 0.5045)  3 Cu 2.67, 6 Os 2.80, 3 Sc 2.84
Sc (0.7490, 0.7490, 0.7490)  6 Sc 2.80, 3 Cu 2.82, 3 Os 2.84